# CaInI2O meta-GGA SCAN single point on PBEsol structure
data_CaInI2O
_chemical_formula_sum 'Ca1 In1 I2 O1'
_symmetry_space_group_name_H-M 'P 1'
_symmetry_Int_Tables_number 1
_cell_length_a 6.133
_cell_length_b 6.133
_cell_length_c 4.244
_cell_angle_alpha 90.00
_cell_angle_beta 90.00
_cell_angle_gamma 90.00
loop_
_symmetry_equiv_pos_as_xyz
'x,y,z'
loop_
_atom_site_label
_atom_site_type_symbol
_atom_site_fract_x
_atom_site_fract_y
_atom_site_fract_z
_atom_site_occupancy
Ca1 Ca 0.000 0.000 0.000 1
In1 In 0.500 0.500 0.500 1
I1 I 0.000 0.500 0.000 1
I2 I 0.500 0.000 0.000 1
O1 O 0.000 0.000 0.500 1
# Energy in eV per atom: -25.54
# ρ in g/cm3: 4.4
# Volume in Å³ per atom: 31.923
# N(E_F) in states/eV/f.u.: 4.4
# Energy relative to the elements, uncorrected in meV/atom: -989